PW4N3 (PBE-GGA, relaxed); E = -161.11 eV/cell; total magnetic moment = 0.03 μB/cell; mass density = 14.61 g/cm3
1.0
-0.1823 2.2396 -2.2125
0.5328 -2.9956 -0.8289
-21.0187 -3.2945 -1.6033
W P N
8 2 6
Cartesian
-3.6497 -0.5721 -0.2784
-14.1590 -2.2193 -1.0800
-11.4900 -1.3152 -2.6320
-6.8597 -1.0752 -0.5233
-19.9259 -2.6375 -3.2755
-0.7423 -1.4130 -1.3692
-17.3691 -2.7225 -1.3249
-9.1782 -2.7353 -2.0127
-15.7080 -1.9763 -2.9538
-4.9603 -2.0742 -1.6909
-12.4960 -3.2553 -2.2657
-10.5094 -1.6473 -0.8016
-2.2250 0.1370 -1.9253
-8.1722 -0.7952 -2.3790
-18.4432 -4.1875 -2.7194
0.0000 0.0000 0.0000